# Ba3Li2Tl2Au4

A relaxed structure of Ba3Li2Tl2Au4 (GGA-PBE, Alexandria via LeMat-Bulk).

Lattice parameters (Å, degrees): 4.8999 4.8999 16.2753 90.00 90.00 120.00
Sites, in units of the cell vectors:
Ba1 0.0000 0.0000 0.0000
Ba2 0.0000 0.0000 0.2743
Ba3 0.0000 0.0000 0.7257
Li1 0.3333 0.6667 0.1389
Li2 0.6667 0.3333 0.8611
Tl1 0.3333 0.6667 0.5665
Tl2 0.6667 0.3333 0.4335
Au1 0.3333 0.6667 0.3841
Au2 0.3333 0.6667 0.8670
Au3 0.6667 0.3333 0.1330
Au4 0.6667 0.3333 0.6159

As for the final energy: -2.934 eV per atom. The calculation puts the energy of formation at -10.14 kcal/mol of atoms. Its space group is P-3m1.